VASP calculation (PBE) on crystalline NdDyCuGe at its relaxed geometry.

It has space group F-43m (No. 216), with a = 7.157 Å, b = 7.157 Å, c = 7.157 Å, α = 90.00°, β = 90.00° and γ = 90.00°. The distinct sites, in fractional coordinates, are Nd at (0.000, 0.000, 0.000), Dy at (0.000, 0.000, 0.500), Cu at (0.250, 0.250, 0.250) and Ge at (0.250, 0.250, 0.750).

Its volume is 22.91 A^3/atom. The calculation puts the calculated density at 8.026 g cm⁻³. The total energy is -79.86 eV/cell. The formation energy is -1.9 eV/f.u.

VASP calculation (PBE) on crystalline DyCu2Ni2Ge at its relaxed geometry.

It has space group P4/mmm (No. 123), with a = 4.336 Å, b = 4.336 Å, c = 5.459 Å, α = 90.00°, β = 90.00° and γ = 90.00°. The distinct sites, in fractional coordinates, are Dy at (0.000, 0.000, 0.000), Cu at (0.500, 0.500, 0.238), Ni at (0.000, 0.500, 0.500) and Ge at (0.000, 0.000, 0.500).

Its volume is 17.10 A^3/atom. The calculation puts the calculated density at 7.762 g cm⁻³. The total energy is -28.79 eV/cell. The formation energy is 0.2 eV/f.u.

VASP calculation (PBE) on crystalline Dy2Cu12Ni3Ge at its relaxed geometry.

It has space group R-3m (No. 166, hexagonal axes), with a = 8.4446 Å, b = 8.4446 Å, c = 12.2925 Å, α = 90.00°, β = 90.00° and γ = 120.00°. The distinct sites, in fractional coordinates, are Dy at (0.0000, 0.0000, 0.2470), Cu at (0.0160, 0.5080, 0.2079), Cu at (0.0517, 0.5259, 0.5998), Ni at (0.0000, 0.5000, 0.0000) and Ge at (0.0000, 0.0000, 0.5000).

Its volume is 14.06 A^3/atom. The calculation puts the calculated density at 8.769 g cm⁻³. The total energy is -241.14 eV/cell. The formation energy is -0.1 eV/f.u.

VASP calculation (PBE) on crystalline Dy2Cu2Ni5Ge at its relaxed geometry.

It has space group P4/mbm (No. 127), with a = 9.012 Å, b = 9.012 Å, c = 3.592 Å, α = 90.00°, β = 90.00° and γ = 90.00°. The distinct sites, in fractional coordinates, are Dy at (0.178, 0.322, 0.000), Cu at (0.119, 0.619, 0.000), Ni at (0.000, 0.500, 0.500), Ni at (0.059, 0.798, 0.500) and Ge at (0.000, 0.000, 0.000).

Its volume is 14.59 A^3/atom. The calculation puts the calculated density at 9.315 g cm⁻³. The total energy is -108.03 eV/cell. The formation energy is -3.1 eV/f.u.